1.
Below is a relaxed CuAg2Sb crystal, with properties calculated at the PBE-GGA level.

Output
The value obtained for the formation energy (no corrections) is 0.271 eV per atom. As for the density of states at the Fermi level: 3.51 states/eV/f.u. Its offset from the most stable computed form is 167 meV/atom.

```
CuAg2Sb
1.0
1.599 0.923 8.817
-1.599 0.923 8.817
0.000 -1.846 8.817
Cu Ag Sb
1 2 1
Direct
0.000 0.000 0.000
0.260 0.260 0.260
0.740 0.740 0.740
0.500 0.500 0.500
```

***

2.
Below is a relaxed CuAgSb2 crystal, with properties calculated at the PBE-GGA level.

Output
The value obtained for the formation energy (no corrections) is 0.272 eV per atom. As for the density of states at the Fermi level: 2.50 states/eV/f.u. Its offset from the most stable computed form is 148 meV/atom.

```
CuAgSb2
1.0
-2.081 2.081 4.950
2.081 -2.081 4.950
2.081 2.081 -4.950
Cu Ag Sb
1 1 2
Direct
0.000 0.000 0.000
0.750 0.250 0.500
0.250 0.750 0.500
0.500 0.500 0.000
```

***

3.
Below is a relaxed CuAgSb crystal, with properties calculated at the PBE-GGA level.

Output
The value obtained for the formation energy (no corrections) is 0.168 eV per atom. As for the density of states at the Fermi level: 0.96 states/eV/f.u. Its offset from the most stable computed form is 124 meV/atom.

```
CuAgSb
1.0
-1.812 1.944 4.073
1.812 -1.944 4.073
1.812 1.944 -4.073
Cu Ag Sb
1 1 1
Direct
0.000 0.000 0.000
0.331 0.331 0.000
0.668 0.668 0.000
```

***

4.
Below is a relaxed CuAg2Sb crystal, with properties calculated at the PBE-GGA level.

Output
The value obtained for the formation energy (no corrections) is 0.202 eV per atom. As for the density of states at the Fermi level: 1.12 states/eV/f.u. Its offset from the most stable computed form is 97 meV/atom.

```
CuAg2Sb
1.0
2.877 -5.045 0.000
2.877 5.045 0.000
-1.679 0.000 2.626
Cu Ag Sb
1 2 1
Direct
0.000 0.000 0.000
0.000 0.500 0.500
0.500 0.000 0.500
0.500 0.500 0.000
```

***

5.
Below is a relaxed CuAgSb2 crystal, with properties calculated at the PBE-GGA level.

Output
The value obtained for the formation energy (no corrections) is 0.193 eV per atom. As for the density of states at the Fermi level: 1.53 states/eV/f.u. Its offset from the most stable computed form is 69 meV/atom.

```
CuAgSb2
1.0
3.082 0.000 0.000
0.000 4.308 0.000
-0.043 0.000 7.045
Cu Ag Sb
1 1 2
Direct
0.000 0.000 0.000
0.000 0.000 0.500
0.001 0.500 0.229
0.999 0.500 0.771
```

***

6.
Below is a relaxed CuAg3Sb crystal, with properties calculated at the PBE-GGA level.

Output
The value obtained for the formation energy (no corrections) is 0.513 eV per atom. As for the density of states at the Fermi level: 2.05 states/eV/f.u. Its offset from the most stable computed form is 0 meV/atom.

```
CuAg3Sb
1.0
4.808 0.000 0.000
0.000 4.808 0.000
0.000 0.000 4.808
Cu Ag Sb
1 3 1
Direct
0.000 0.000 0.000
0.000 0.000 0.500
0.000 0.500 0.000
0.500 0.000 0.000
0.500 0.500 0.500
```

***

7.
Below is a relaxed CuAg2Sb crystal, with properties calculated at the PBE-GGA level.

Output
The value obtained for the formation energy (no corrections) is 0.214 eV per atom. As for the density of states at the Fermi level: 1.06 states/eV/f.u. Its offset from the most stable computed form is 109 meV/atom.

```
CuAg2Sb
1.0
0.000 3.353 3.353
3.353 0.000 3.353
3.353 3.353 0.000
Cu Ag Sb
1 2 1
Direct
0.000 0.000 0.000
0.250 0.250 0.250
0.750 0.750 0.750
0.500 0.500 0.500
```

***

8.
Below is a relaxed CuAg2Sb crystal, with properties calculated at the PBE-GGA level.

Output
The value obtained for the formation energy (no corrections) is 0.135 eV per atom. As for the density of states at the Fermi level: 1.44 states/eV/f.u. Its offset from the most stable computed form is 30 meV/atom.

```
CuAg2Sb
1.0
3.485 0.000 0.000
0.000 3.485 0.000
0.000 0.000 6.131
Cu Ag Sb
1 2 1
Direct
0.000 0.000 0.000
0.000 0.000 0.527
0.500 0.500 0.772
0.500 0.500 0.237
```